A relaxed structure of SrPtCl2, computed with PBE-GGA.

The total magnetization is 0.00 μB/f.u. The calculation puts the offset from the most stable computed form at 225.5 meV per atom. As for the energy relative to the elements, uncorrected: -1099.0 meV per atom. The value obtained for the energy is -3.953 eV per atom.

It has space group R3m (No. 160, hexagonal axes), with a = 4.2843 Å, b = 4.2843 Å, c = 21.2888 Å, α = 90.00°, β = 90.00° and γ = 120.00°. The distinct sites, in fractional coordinates, are Sr at (0.0000, 0.0000, 0.0000), Pt at (0.0000, 0.0000, 0.2396), Cl at (0.0000, 0.0000, 0.5645) and Cl at (0.0000, 0.0000, 0.7384).